A plane-wave DFT calculation with GGA-PBE was carried out for a relaxed structure of ZrUPt2.

Output
The uncorrected energy comes out at -34.415 eV/cell.

a = 4.087 Å, b = 4.087 Å, c = 6.542 Å
α = 71.80°, β = 71.80°, γ = 60.00°
Each line ends with the local moment (μB).
Atoms (fractional coordinates):
U 0.000 0.000 0.000  1.96
Zr 0.500 0.500 0.500  0.12
Pt 0.246 0.246 0.262  -0.03
Pt 0.754 0.754 0.738  -0.03

A plane-wave DFT calculation with GGA-PBE was carried out for a relaxed structure of Zr2UPt.

Output
As for the distance to the lowest polymorph of the same formula: 0.020 eV/atom.

a = 3.083 Å, b = 5.087 Å, c = 5.087 Å
α = 90.00°, β = 90.00°, γ = 90.00°
Each line ends with the local moment (μB).
Atoms (fractional coordinates):
U 0.500 0.500 0.500  1.06
Zr 0.000 0.000 0.500  0.02
Zr 0.000 0.500 0.000  0.02
Pt 0.500 0.000 0.000  0.01

A plane-wave DFT calculation with GGA-PBE was carried out for a relaxed structure of V8Pt.

Output
As for the distance to the lowest polymorph of the same formula: 0.175 eV/atom.

a = 4.393 Å, b = 5.770 Å, c = 5.770 Å
α = 81.67°, β = 67.63°, γ = 67.63°
Atoms (fractional coordinates):
V 0.333 0.000 0.333
V 0.667 0.000 0.667
V 0.661 0.339 0.339
V 0.333 0.333 0.000
V 0.000 0.339 0.661
V 0.667 0.667 0.000
V 0.339 0.661 0.661
V 0.000 0.661 0.339
Pt 0.000 0.000 0.000

A plane-wave DFT calculation with GGA-PBE was carried out for a relaxed structure of V3Pt.

Output
The uncorrected energy comes out at -70.262 eV/cell.

a = 4.814 Å, b = 4.814 Å, c = 4.814 Å
α = 90.00°, β = 90.00°, γ = 90.00°
Atoms (fractional coordinates):
V 0.500 0.250 0.000
V 0.500 0.750 0.000
V 0.250 0.000 0.500
V 0.750 0.000 0.500
V 0.000 0.500 0.250
V 0.000 0.500 0.750
Pt 0.500 0.500 0.500
Pt 0.000 0.000 0.000

A plane-wave DFT calculation with GGA-PBE was carried out for a relaxed structure of V3Pt.

Output
The uncorrected energy comes out at -34.393 eV/cell.

a = 3.717 Å, b = 3.717 Å, c = 4.859 Å
α = 112.49°, β = 112.49°, γ = 90.00°
Each line ends with the local moment (μB).
Atoms (fractional coordinates):
Pt 0.000 0.000 0.000  0.02
V 0.750 0.250 0.500  0.00
V 0.250 0.750 0.500  0.00
V 0.500 0.500 0.000  0.39

A plane-wave DFT calculation with GGA-PBE was carried out for a relaxed structure of VPt4.

Output
As for the distance to the lowest polymorph of the same formula: 0.198 eV/atom.

a = 5.368 Å, b = 5.368 Å, c = 5.514 Å
α = 90.00°, β = 90.00°, γ = 90.00°
Atoms (fractional coordinates):
V 0.000 0.000 0.000
V 0.500 0.500 0.500
Pt 0.102 0.275 0.356
Pt 0.898 0.725 0.356
Pt 0.275 0.898 0.644
Pt 0.725 0.102 0.644
Pt 0.398 0.775 0.144
Pt 0.602 0.225 0.144
Pt 0.225 0.398 0.856
Pt 0.775 0.602 0.856

A plane-wave DFT calculation with GGA-PBE was carried out for a relaxed structure of V3Pt.

Output
The uncorrected energy comes out at -34.105 eV/cell.

a = 2.620 Å, b = 4.832 Å, c = 5.234 Å
α = 117.49°, β = 104.50°, γ = 90.00°
Atoms (fractional coordinates):
Pt 0.000 0.023 0.000
V 0.261 0.574 0.521
V 0.500 0.516 0.000
V 0.739 0.053 0.479

A plane-wave DFT calculation with GGA-PBE was carried out for a relaxed structure of VPt8.

Output
The uncorrected energy comes out at -59.967 eV/cell.

a = 3.925 Å, b = 6.245 Å, c = 6.245 Å
α = 84.34°, β = 71.65°, γ = 71.65°
Atoms (fractional coordinates):
Pt 0.661 0.000 0.679
Pt 0.339 0.000 0.321
Pt 0.661 0.679 0.000
Pt 0.328 0.672 0.672
Pt 0.000 0.672 0.328
Pt 0.000 0.328 0.672
Pt 0.672 0.328 0.328
Pt 0.339 0.321 0.000
V 0.000 0.000 0.000

A plane-wave DFT calculation with GGA-PBE was carried out for a relaxed structure of V8Pt.

Output
As for the distance to the lowest polymorph of the same formula: 0.000 eV/atom.

a = 3.062 Å, b = 6.511 Å, c = 6.511 Å
α = 86.83°, β = 76.40°, γ = 76.40°
Atoms (fractional coordinates):
V 0.671 0.000 0.658
V 0.329 0.000 0.342
V 0.000 0.334 0.666
V 0.329 0.342 0.000
V 0.666 0.334 0.334
V 0.671 0.658 0.000
V 0.000 0.666 0.334
V 0.334 0.666 0.666
Pt 0.000 0.000 0.000

A plane-wave DFT calculation with GGA-PBE was carried out for a relaxed structure of V3Pt.

Output
The uncorrected energy comes out at -34.563 eV/cell.

a = 3.255 Å, b = 4.142 Å, c = 4.144 Å
α = 90.00°, β = 90.00°, γ = 90.00°
Atoms (fractional coordinates):
Pt 0.000 0.500 0.417
V 0.000 0.000 0.917
V 0.500 0.000 0.417
V 0.500 0.500 0.917

A plane-wave DFT calculation with GGA-PBE was carried out for a relaxed structure of V4Pt7.

Output
The uncorrected energy comes out at -83.281 eV/cell.

a = 2.718 Å, b = 8.468 Å, c = 8.468 Å
α = 120.00°, β = 90.00°, γ = 90.00°
Atoms (fractional coordinates):
V 0.500 0.337 0.168
V 0.500 0.832 0.663
V 0.500 0.832 0.168
V 0.000 0.333 0.667
Pt 0.000 0.958 0.479
Pt 0.500 0.180 0.359
Pt 0.000 0.521 0.479
Pt 0.000 0.521 0.042
Pt 0.500 0.180 0.820
Pt 0.500 0.641 0.820
Pt 0.000 0.000 0.000

A plane-wave DFT calculation with GGA-PBE was carried out for a relaxed structure of VPt3.

Output
The uncorrected energy comes out at -28.741 eV/cell.

a = 9.218 Å, b = 9.218 Å, c = 9.218 Å
α = 17.24°, β = 17.24°, γ = 17.24°
Atoms (fractional coordinates):
Pt 0.256 0.256 0.256
Pt 0.500 0.500 0.500
Pt 0.744 0.744 0.744
V 0.000 0.000 0.000